No. 1
Computed, not measured: an optimized crystal structure of ScU2C3 at the GGA-PBE level of DFT. Values from VASP.

Quantum ESPRESSO input file:
```
&SYSTEM
  ibrav = 0, nat = 6, ntyp = 3
/
ATOMIC_SPECIES
C 12.01 C.upf
Sc 44.96 Sc.upf
U 238.03 U.upf
ATOMIC_POSITIONS angstrom
C 1.2755 2.4163 1.1645
C -1.8129 2.3331 -0.4093
C -0.2143 1.7454 4.2226
Sc -1.0136 2.0393 1.9067
U -4.0923 1.9940 0.3820
U 2.0651 2.0846 3.4314
CELL_PARAMETERS angstrom
-1.0575 2.7097 -1.8850
-4.5782 -0.7541 1.4844
3.6085 2.1229 4.2140
```

Summary:
The crystal system is orthorhombic. As for the formation energy: -6.06 kcal/mol of atoms. The calculation puts the total energy at -58.16 eV for the cell shown. As for the space-group type: Immm.


No. 2
Computed, not measured: an optimized crystal structure of FeGe2PH at the GGA-PBE level of DFT. Values from VASP.

Quantum ESPRESSO input file:
```
&SYSTEM
  ibrav = 0, nat = 5, ntyp = 4
/
ATOMIC_SPECIES
Fe 55.84 Fe.upf
P 30.97 P.upf
Ge 72.64 Ge.upf
H 1.01 H.upf
ATOMIC_POSITIONS angstrom
Fe 0.0263 -2.0227 -0.3338
P 0.0000 0.0000 0.0000
Ge -2.3261 -0.1366 0.6448
Ge -0.6584 0.3705 -2.2966
H -2.9583 -1.7888 -1.9856
CELL_PARAMETERS angstrom
-1.3169 0.7410 -4.5932
0.0525 -4.0454 -0.6676
-4.6522 -0.2732 1.2897
```

Summary:
The crystal system is tetragonal. The calculation puts the total energy at -20.59 eV for the cell shown. As for the space-group type: P4/mmm.


No. 3
Computed, not measured: an optimized crystal structure of Pm3BeGa2Ir3 at the GGA-PBE level of DFT. Values from VASP.

Quantum ESPRESSO input file:
```
&SYSTEM
  ibrav = 0, nat = 9, ntyp = 4
/
ATOMIC_SPECIES
Ir 192.22 Ir.upf
Pm 145.00 Pm.upf
Ga 69.72 Ga.upf
Be 9.01 Be.upf
ATOMIC_POSITIONS angstrom
Ir 1.9048 5.5966 0.0000
Ir 1.9048 0.8165 1.4143
Ir 1.9048 -2.7983 4.8468
Pm 0.0000 -1.3842 2.3975
Pm 0.0000 2.2307 3.8636
Pm 0.0000 2.7684 0.0000
Ga 1.9048 3.6148 2.0870
Ga 1.9048 0.0000 4.1741
Be 0.0000 0.0000 0.0000
CELL_PARAMETERS angstrom
3.8096 0.0000 0.0000
0.0000 7.2297 0.0000
0.0000 -3.6148 6.2611
```

Summary:
The crystal system is hexagonal. As for the formation energy: -14.03 kcal/mol of atoms. The calculation puts the total energy at -56.09 eV for the cell shown. As for the space-group type: P-62m.


Repeat the third record exactly.
Computed, not measured: an optimized crystal structure of Pm3BeGa2Ir3 at the GGA-PBE level of DFT. Values from VASP.

Quantum ESPRESSO input file:
```
&SYSTEM
  ibrav = 0, nat = 9, ntyp = 4
/
ATOMIC_SPECIES
Ir 192.22 Ir.upf
Pm 145.00 Pm.upf
Ga 69.72 Ga.upf
Be 9.01 Be.upf
ATOMIC_POSITIONS angstrom
Ir 1.9048 5.5966 0.0000
Ir 1.9048 0.8165 1.4143
Ir 1.9048 -2.7983 4.8468
Pm 0.0000 -1.3842 2.3975
Pm 0.0000 2.2307 3.8636
Pm 0.0000 2.7684 0.0000
Ga 1.9048 3.6148 2.0870
Ga 1.9048 0.0000 4.1741
Be 0.0000 0.0000 0.0000
CELL_PARAMETERS angstrom
3.8096 0.0000 0.0000
0.0000 7.2297 0.0000
0.0000 -3.6148 6.2611
```

Summary:
The crystal system is hexagonal. As for the formation energy: -14.03 kcal/mol of atoms. The calculation puts the total energy at -56.09 eV for the cell shown. As for the space-group type: P-62m.


What did the second record say?
Computed, not measured: an optimized crystal structure of FeGe2PH at the GGA-PBE level of DFT. Values from VASP.

Quantum ESPRESSO input file:
```
&SYSTEM
  ibrav = 0, nat = 5, ntyp = 4
/
ATOMIC_SPECIES
Fe 55.84 Fe.upf
P 30.97 P.upf
Ge 72.64 Ge.upf
H 1.01 H.upf
ATOMIC_POSITIONS angstrom
Fe 0.0263 -2.0227 -0.3338
P 0.0000 0.0000 0.0000
Ge -2.3261 -0.1366 0.6448
Ge -0.6584 0.3705 -2.2966
H -2.9583 -1.7888 -1.9856
CELL_PARAMETERS angstrom
-1.3169 0.7410 -4.5932
0.0525 -4.0454 -0.6676
-4.6522 -0.2732 1.2897
```

Summary:
The crystal system is tetragonal. The calculation puts the total energy at -20.59 eV for the cell shown. As for the space-group type: P4/mmm.